Material: YThNi
Method: DFT, PBE-GGA
State: relaxed

Energy of formation from the pure elements ... -0.802 kcal/mol of atoms
Raw total energy ... -6.52 eV/atom
ΔE to the lowest computed polymorph ... 0.00 eV per formula unit

extended XYZ file:
```
3
Lattice="0.0000 3.3931 3.3931 3.3931 0.0000 3.3931 3.3931 3.3931 0.0000" Properties=species:S:1:pos:R:3 pbc="T T T"
Y 0.0000 0.0000 0.0000
Th 3.3931 3.3931 3.3931
Ni 5.0896 5.0896 5.0896
```

***

Material: LiHgN
Method: DFT, PBE-GGA
State: relaxed

Raw total energy ... -3.12 eV/atom

extended XYZ file:
```
12
Lattice="8.3049 0.0000 0.0000 0.0000 3.6464 0.0000 0.0000 0.0000 5.5108" Properties=species:S:1:pos:R:3 pbc="T T T"
Li 0.7368 0.9116 0.0900
Li 3.4156 2.7348 2.8454
Li 4.8893 0.9116 2.6654
Li 7.5681 2.7348 5.4208
Hg 1.3792 0.9116 2.6236
Hg 2.7732 2.7348 5.3790
Hg 5.5317 0.9116 0.1318
Hg 6.9257 2.7348 2.8872
N 0.8864 2.7348 1.1546
N 3.2661 0.9116 3.9100
N 5.0389 2.7348 1.6008
N 7.4185 0.9116 4.3562
```

***

Material: DyNi3
Method: DFT, PBE-GGA
State: relaxed

Energy of formation from the pure elements ... -9.629 kcal/mol of atoms
Raw total energy ... -5.74 eV/atom

extended XYZ file:
```
12
Lattice="2.4704 1.4263 8.0897 -2.4704 1.4263 8.0897 0.0000 -2.8526 8.0897" Properties=species:S:1:pos:R:3 pbc="T T T"
Dy 0.0000 0.0000 0.0000
Dy 0.0000 0.0000 3.3704
Dy 0.0000 0.0000 20.8987
Ni -1.2377 -0.7146 10.0791
Ni 0.0000 0.0000 8.0828
Ni 0.0000 -1.4291 14.1900
Ni -1.2377 0.7146 14.1900
Ni 0.0000 0.0000 12.1346
Ni 1.2377 -0.7146 10.0791
Ni 0.0000 1.4291 10.0791
Ni 0.0000 0.0000 16.1864
Ni 1.2377 0.7146 14.1900
```

***

Material: ZrBeSi
Method: DFT, PBE-GGA
State: relaxed

Raw total energy ... -5.93 eV/atom
ΔE to the lowest computed polymorph ... 2.18 eV per formula unit

extended XYZ file:
```
3
Lattice="0.0000 2.9414 2.9414 2.9414 0.0000 2.9414 2.9414 2.9414 0.0000" Properties=species:S:1:pos:R:3 pbc="T T T"
Zr 0.0000 0.0000 0.0000
Be 2.9414 2.9414 2.9414
Si 4.4121 4.4121 4.4121
```

***

Material: ZrCuBiIr
Method: DFT, PBE-GGA
State: relaxed

Raw total energy ... -6.20 eV/atom
ΔE to the lowest computed polymorph ... 1.01 eV per formula unit

extended XYZ file:
```
4
Lattice="0.0000 3.3211 3.3211 3.3211 0.0000 3.3211 3.3211 3.3211 0.0000" Properties=species:S:1:pos:R:3 pbc="T T T"
Zr 0.0000 0.0000 0.0000
Cu 4.9817 4.9817 4.9817
Bi 1.6606 1.6606 1.6606
Ir 3.3211 3.3211 3.3211
```

***

Material: Cu8Ge
Method: DFT, PBE-GGA
State: relaxed

Raw total energy ... -3.73 eV/atom

extended XYZ file:
```
18
Lattice="4.0077 -1.8015 0.0000 4.0077 1.8015 0.0000 -0.2448 0.0000 29.0596" Properties=species:S:1:pos:R:3 pbc="T T T"
Cu 0.2952 0.0000 11.6881
Cu 0.2506 0.0000 19.8450
Cu 1.0827 0.0000 14.1189
Cu 1.8638 0.0000 16.5631
Cu 1.9416 0.0000 8.3572
Cu 2.7096 0.0000 10.8587
Cu 2.6449 0.0000 18.9913
Cu 3.4916 0.0000 13.3122
Cu 4.2790 0.0000 15.7474
Cu 5.1257 0.0000 10.0683
Cu 5.0609 0.0000 18.2009
Cu 5.8290 0.0000 20.7024
Cu 5.9068 0.0000 12.4965
Cu 6.6879 0.0000 14.9407
Cu 7.5200 0.0000 9.2146
Cu 7.4754 0.0000 17.3715
Ge 3.4086 0.0000 21.4500
Ge 4.3620 0.0000 7.6096
```

***

Copy entry 5 word for word.
Material: ZrCuBiIr
Method: DFT, PBE-GGA
State: relaxed

Raw total energy ... -6.20 eV/atom
ΔE to the lowest computed polymorph ... 1.01 eV per formula unit

extended XYZ file:
```
4
Lattice="0.0000 3.3211 3.3211 3.3211 0.0000 3.3211 3.3211 3.3211 0.0000" Properties=species:S:1:pos:R:3 pbc="T T T"
Zr 0.0000 0.0000 0.0000
Cu 4.9817 4.9817 4.9817
Bi 1.6606 1.6606 1.6606
Ir 3.3211 3.3211 3.3211
```